A plane-wave DFT calculation with PBE was carried out for a geometry-optimized AcCoS structure.

Geometry as CIF:
```
data_AcCoS
_cell_length_a 4.057
_cell_length_b 4.057
_cell_length_c 4.185
_cell_angle_alpha 90.00
_cell_angle_beta 90.00
_cell_angle_gamma 120.00
_space_group_name_H-M_alt 'P 1'
_space_group_IT_number 1
loop_
_space_group_symop_operation_xyz
'x,y,z'
loop_
_atom_site_label
_atom_site_type_symbol
_atom_site_fract_x
_atom_site_fract_y
_atom_site_fract_z
Ac1 Ac 0.000 0.000 0.000
Co1 Co 0.667 0.333 0.502
S1 S 0.333 0.667 0.500
```

DOS at the Fermi energy: 1.81 states/eV/f.u.
E_form (uncorrected): -934.4 meV/atom
E above lowest polymorph: 6.2 kJ per mole of atoms
DFT total energy: -6.048 eV per atom

---

A plane-wave DFT calculation with PBE was carried out for a geometry-optimized CaVGa structure.

Geometry as CIF:
```
data_CaVGa
_cell_length_a 3.956
_cell_length_b 3.956
_cell_length_c 8.198
_cell_angle_alpha 90.00
_cell_angle_beta 90.00
_cell_angle_gamma 90.00
_space_group_name_H-M_alt 'P 1'
_space_group_IT_number 1
loop_
_space_group_symop_operation_xyz
'x,y,z'
loop_
_atom_site_label
_atom_site_type_symbol
_atom_site_fract_x
_atom_site_fract_y
_atom_site_fract_z
Ca1 Ca 0.250 0.250 0.161
Ca2 Ca 0.750 0.750 0.839
V1 V 0.250 0.750 0.500
V2 V 0.750 0.250 0.500
Ga1 Ga 0.250 0.250 0.711
Ga2 Ga 0.750 0.750 0.289
```

DOS at the Fermi energy: 3.69 states/eV/f.u.
formation energy from the elements: -79 meV/atom
DFT total energy: -4.795 eV per atom

---

A plane-wave DFT calculation with PBE was carried out for a geometry-optimized La5Pr2Zn2Ag structure.

Geometry as CIF:
```
data_La5Pr2Zn2Ag
_cell_length_a 12.797
_cell_length_b 12.797
_cell_length_c 3.899
_cell_angle_alpha 90.00
_cell_angle_beta 90.00
_cell_angle_gamma 90.00
_space_group_name_H-M_alt 'P 1'
_space_group_IT_number 1
loop_
_space_group_symop_operation_xyz
'x,y,z'
loop_
_atom_site_label
_atom_site_type_symbol
_atom_site_fract_x
_atom_site_fract_y
_atom_site_fract_z
La1 La 0.000 0.500 0.000
La2 La 0.052 0.198 0.000
La3 La 0.198 0.948 0.000
La4 La 0.302 0.448 0.000
La5 La 0.448 0.698 0.000
La6 La 0.500 0.000 0.000
La7 La 0.552 0.302 0.000
La8 La 0.698 0.552 0.000
La9 La 0.802 0.052 0.000
La10 La 0.948 0.802 0.000
Pr1 Pr 0.180 0.680 0.500
Pr2 Pr 0.320 0.180 0.500
Pr3 Pr 0.680 0.820 0.500
Pr4 Pr 0.820 0.320 0.500
Zn1 Zn 0.132 0.368 0.500
Zn2 Zn 0.368 0.868 0.500
Zn3 Zn 0.632 0.132 0.500
Zn4 Zn 0.868 0.632 0.500
Ag1 Ag 0.000 0.000 0.500
Ag2 Ag 0.500 0.500 0.500
```

DOS at the Fermi energy: 13.15 states/eV/f.u.
formation energy from the elements: -144 meV/atom
DFT total energy: -4.104 eV per atom

---

A plane-wave DFT calculation with PBE was carried out for a geometry-optimized La5NiP3 structure.

Geometry as CIF:
```
data_La5NiP3
_cell_length_a 8.960
_cell_length_b 8.960
_cell_length_c 6.464
_cell_angle_alpha 90.00
_cell_angle_beta 90.00
_cell_angle_gamma 120.00
_space_group_name_H-M_alt 'P 1'
_space_group_IT_number 1
loop_
_space_group_symop_operation_xyz
'x,y,z'
loop_
_atom_site_label
_atom_site_type_symbol
_atom_site_fract_x
_atom_site_fract_y
_atom_site_fract_z
La1 La 0.000 0.261 0.250
La2 La 0.000 0.739 0.750
La3 La 0.261 0.000 0.250
La4 La 0.261 0.261 0.750
La5 La 0.333 0.667 0.000
La6 La 0.333 0.667 0.500
La7 La 0.667 0.333 0.000
La8 La 0.667 0.333 0.500
La9 La 0.739 0.000 0.750
La10 La 0.739 0.739 0.250
Ni1 Ni 0.000 0.000 0.000
Ni2 Ni 0.000 0.000 0.500
P1 P 0.000 0.385 0.750
P2 P 0.000 0.615 0.250
P3 P 0.385 0.000 0.750
P4 P 0.385 0.385 0.250
P5 P 0.615 0.000 0.250
P6 P 0.615 0.615 0.750
```

DOS at the Fermi energy: 9.15 states/eV/f.u.
formation energy from the elements: -961 meV/atom
DFT total energy: -6.144 eV per atom

---

A plane-wave DFT calculation with PBE was carried out for a geometry-optimized Fe5Ni6Pd structure.

Geometry as CIF:
```
data_Fe5Ni6Pd
_cell_length_a 5.705
_cell_length_b 5.705
_cell_length_c 7.217
_cell_angle_alpha 90.00
_cell_angle_beta 90.00
_cell_angle_gamma 143.36
_space_group_name_H-M_alt 'P 1'
_space_group_IT_number 1
loop_
_space_group_symop_operation_xyz
'x,y,z'
loop_
_atom_site_label
_atom_site_type_symbol
_atom_site_fract_x
_atom_site_fract_y
_atom_site_fract_z
Fe1 Fe 0.000 0.000 0.000
Fe2 Fe 0.330 0.670 0.500
Fe3 Fe 0.332 0.668 0.000
Fe4 Fe 0.668 0.332 0.000
Fe5 Fe 0.670 0.330 0.500
Ni1 Ni 0.168 0.832 0.246
Ni2 Ni 0.168 0.832 0.754
Ni3 Ni 0.500 0.500 0.239
Ni4 Ni 0.500 0.500 0.761
Ni5 Ni 0.832 0.168 0.246
Ni6 Ni 0.832 0.168 0.754
Pd1 Pd 0.000 0.000 0.500
```

DOS at the Fermi energy: 9.51 states/eV/f.u.
formation energy from the elements: -47 meV/atom
DFT total energy: -6.896 eV per atom

---

A plane-wave DFT calculation with PBE was carried out for a geometry-optimized DyNi6H12 structure.

Geometry as CIF:
```
data_DyNi6H12
_cell_length_a 5.318
_cell_length_b 5.318
_cell_length_c 5.318
_cell_angle_alpha 106.26
_cell_angle_beta 106.26
_cell_angle_gamma 106.26
_space_group_name_H-M_alt 'P 1'
_space_group_IT_number 1
loop_
_space_group_symop_operation_xyz
'x,y,z'
loop_
_atom_site_label
_atom_site_type_symbol
_atom_site_fract_x
_atom_site_fract_y
_atom_site_fract_z
Dy1 Dy 0.000 0.000 0.000
Ni1 Ni 0.227 0.227 0.623
Ni2 Ni 0.227 0.623 0.227
Ni3 Ni 0.377 0.773 0.773
Ni4 Ni 0.623 0.227 0.227
Ni5 Ni 0.773 0.377 0.773
Ni6 Ni 0.773 0.773 0.377
H1 H 0.129 0.500 0.871
H2 H 0.129 0.871 0.500
H3 H 0.196 0.449 0.449
H4 H 0.449 0.196 0.449
H5 H 0.449 0.449 0.196
H6 H 0.500 0.129 0.871
H7 H 0.500 0.871 0.129
H8 H 0.551 0.551 0.804
H9 H 0.551 0.804 0.551
H10 H 0.804 0.551 0.551
H11 H 0.871 0.129 0.500
H12 H 0.871 0.500 0.129
```

DOS at the Fermi energy: 5.52 states/eV/f.u.
DFT total energy: -4.221 eV per atom

---

Q: Look up the DFT total energy of the first one.
A: -6.048 eV per atom